# Tb3Tl4 | the Alexandria database | GGA-PBE | relaxed
data_Tb3Tl4
_space_group_name_H-M_alt 'R -3'
_space_group_IT_number 148
_space_group_name_Hall '-R 3'
_cell_length_a 14.2961
_cell_length_b 14.2961
_cell_length_c 6.5348
_cell_angle_alpha 90.00
_cell_angle_beta 90.00
_cell_angle_gamma 120.00
loop_
_atom_site_label
_atom_site_type_symbol
_atom_site_fract_x
_atom_site_fract_y
_atom_site_fract_z
_atom_site_occupancy
Tb1 Tb 0.0472 0.8280 0.2191 1
Tl1 Tl 0.0000 0.0000 0.0000 1
Tl2 Tl 0.0000 0.0000 0.5000 1
Tl3 Tl 0.0537 0.7954 0.6977 1
# - DFT formation energy (eV per atom) = -0.327
# - crystal system = trigonal
# - energy relative to the lowest polymorph listed for this composition (meV/atom) = 0

---

# TbTl4 | the Alexandria database | GGA-PBE | relaxed
data_TbTl4
_space_group_name_H-M_alt 'P m -3 m'
_space_group_IT_number 221
_space_group_name_Hall '-P 4 2 3'
_cell_length_a 5.9453
_cell_length_b 5.9453
_cell_length_c 5.9453
_cell_angle_alpha 90.00
_cell_angle_beta 90.00
_cell_angle_gamma 90.00
loop_
_atom_site_label
_atom_site_type_symbol
_atom_site_fract_x
_atom_site_fract_y
_atom_site_fract_z
_atom_site_occupancy
Tb1 Tb 0.0000 0.0000 0.0000 1
Tl1 Tl 0.0000 0.0000 0.5000 1
Tl2 Tl 0.5000 0.5000 0.5000 1
# - DFT formation energy (eV per atom) = 0.372
# - crystal system = cubic

---

no.,total magnetic moment (μB per formula unit)
1,0.000
2,0.000